Record 1
A plane-wave DFT calculation with PBE was carried out for a geometry-optimized W3C structure.

a = 3.104 Å, b = 3.030 Å, c = 6.202 Å
α = 90.00°, β = 103.75°, γ = 90.00°
Fractional positions:
W  0.000  0.000  0.000
W  0.378  0.500  0.711
W  0.622  0.500  0.289
C  0.500  0.000  0.500

Calculated values
The calculation puts the energy above the lowest structure with this stoichiometry at 92 kJ/mol of formula units. The symmetry is No. 10.

***

Record 2
A plane-wave DFT calculation with PBE was carried out for a geometry-optimized W3C4 structure.

a = 4.299 Å, b = 4.299 Å, c = 4.299 Å
α = 90.00°, β = 90.00°, γ = 90.00°
Fractional positions:
W  0.000  0.000  0.500
W  0.000  0.500  0.000
W  0.500  0.000  0.000
C  0.000  0.000  0.000
C  0.000  0.500  0.500
C  0.500  0.000  0.500
C  0.500  0.500  0.000

Calculated values
The calculation puts the energy above the lowest structure with this stoichiometry at 0 kJ/mol of formula units. The symmetry is No. 221.

***

Record 3
A plane-wave DFT calculation with PBE was carried out for a geometry-optimized WC3 structure.

a = 4.057 Å, b = 4.057 Å, c = 4.057 Å
α = 137.45°, β = 72.35°, γ = 124.52°
Fractional positions:
W  0.000  0.000  0.000
C  0.116  0.797  0.319
C  0.478  0.797  0.681
C  0.511  0.011  0.500

Calculated values
The calculation puts the energy above the lowest structure with this stoichiometry at 8 kJ/mol of formula units. The symmetry is No. 44.

***

Record 4
A plane-wave DFT calculation with PBE was carried out for a geometry-optimized WC structure.

a = 5.262 Å, b = 5.262 Å, c = 5.262 Å
α = 39.09°, β = 39.09°, γ = 39.09°
Fractional positions:
W  0.238  0.238  0.238
W  0.762  0.762  0.762
C  0.091  0.091  0.091
C  0.909  0.909  0.909

Calculated values
The calculation puts the energy above the lowest structure with this stoichiometry at 136 kJ/mol of formula units. The symmetry is No. 166.

***

Record 5
A plane-wave DFT calculation with PBE was carried out for a geometry-optimized WC structure.

a = 4.225 Å, b = 4.225 Å, c = 4.225 Å
α = 90.00°, β = 90.00°, γ = 90.00°
Fractional positions:
W  0.000  0.000  0.500
W  0.000  0.500  0.000
W  0.500  0.000  0.000
C  0.000  0.500  0.500
C  0.500  0.000  0.500
C  0.500  0.500  0.000

Calculated values
The calculation puts the energy above the lowest structure with this stoichiometry at 156 kJ/mol of formula units. The symmetry is No. 221.

***

Record 6
A plane-wave DFT calculation with PBE was carried out for a geometry-optimized W3C structure.

a = 6.231 Å, b = 6.231 Å, c = 3.011 Å
α = 90.00°, β = 90.00°, γ = 104.56°
Fractional positions:
W  0.106  0.894  0.750
W  0.178  0.442  0.750
W  0.442  0.178  0.250
W  0.558  0.822  0.750
W  0.822  0.558  0.250
W  0.894  0.106  0.250
C  0.368  0.632  0.250
C  0.632  0.368  0.750

Calculated values
The calculation puts the energy above the lowest structure with this stoichiometry at 119 kJ/mol of formula units. The symmetry is No. 63.

***

Record 7
A plane-wave DFT calculation with PBE was carried out for a geometry-optimized WC structure.

a = 4.026 Å, b = 4.026 Å, c = 6.377 Å
α = 108.47°, β = 108.47°, γ = 41.91°
Fractional positions:
W  0.000  0.000  0.000
W  0.157  0.157  0.670
W  0.815  0.815  0.323
C  0.416  0.416  0.607
C  0.512  0.512  0.257
C  0.704  0.704  0.948

Calculated values
The calculation puts the energy above the lowest structure with this stoichiometry at 86 kJ/mol of formula units. The symmetry is No. 8.

***

Record 8
A plane-wave DFT calculation with PBE was carried out for a geometry-optimized W3C structure.

a = 5.171 Å, b = 5.171 Å, c = 5.171 Å
α = 140.09°, β = 140.09°, γ = 57.71°
Fractional positions:
W  0.000  0.000  0.000
W  0.250  0.750  0.500
W  0.750  0.250  0.500
C  0.500  0.500  0.000

Calculated values
The calculation puts the energy above the lowest structure with this stoichiometry at 434 kJ/mol of formula units. The symmetry is No. 139.

***

Record 9
A plane-wave DFT calculation with PBE was carried out for a geometry-optimized WC structure.

a = 3.355 Å, b = 10.439 Å, c = 4.653 Å
α = 90.00°, β = 90.00°, γ = 90.00°
Fractional positions:
W  0.250  0.108  0.029
W  0.250  0.392  0.029
W  0.250  0.750  0.398
W  0.750  0.250  0.602
W  0.750  0.608  0.971
W  0.750  0.892  0.971
C  0.250  0.250  0.331
C  0.250  0.571  0.217
C  0.250  0.929  0.217
C  0.750  0.071  0.783
C  0.750  0.429  0.783
C  0.750  0.750  0.669

Calculated values
The calculation puts the energy above the lowest structure with this stoichiometry at 118 kJ/mol of formula units. The symmetry is No. 59.

***

Record 10
A plane-wave DFT calculation with PBE was carried out for a geometry-optimized W7C structure.

a = 5.599 Å, b = 5.599 Å, c = 5.599 Å
α = 60.00°, β = 60.00°, γ = 60.00°
Fractional positions:
W  0.000  0.000  0.000
W  0.000  0.000  0.500
W  0.000  0.500  0.000
W  0.000  0.500  0.500
W  0.500  0.000  0.000
W  0.500  0.000  0.500
W  0.500  0.500  0.000
C  0.500  0.500  0.500

Calculated values
The symmetry is No. 225.

***

Record 11
A plane-wave DFT calculation with PBE was carried out for a geometry-optimized WC5 structure.

a = 3.054 Å, b = 3.054 Å, c = 5.384 Å
α = 90.00°, β = 90.00°, γ = 90.00°
Fractional positions:
W  0.000  0.000  0.000
C  0.000  0.000  0.380
C  0.000  0.000  0.620
C  0.500  0.500  0.231
C  0.500  0.500  0.500
C  0.500  0.500  0.769

Calculated values
The calculation puts the energy above the lowest structure with this stoichiometry at 695 kJ/mol of formula units. The symmetry is No. 123.

***

Record 12
A plane-wave DFT calculation with PBE was carried out for a geometry-optimized WC3 structure.

a = 4.295 Å, b = 4.295 Å, c = 3.490 Å
α = 102.66°, β = 102.66°, γ = 36.26°
Fractional positions:
W  0.000  0.000  0.000
C  0.278  0.278  0.089
C  0.500  0.500  0.500
C  0.722  0.722  0.911

Calculated values
The calculation puts the energy above the lowest structure with this stoichiometry at 190 kJ/mol of formula units. The symmetry is No. 12.

***

Record 13
A plane-wave DFT calculation with PBE was carried out for a geometry-optimized WC4 structure.

a = 4.180 Å, b = 4.180 Å, c = 4.180 Å
α = 109.47°, β = 109.47°, γ = 109.47°
Fractional positions:
W  0.000  0.000  0.000
C  0.000  0.000  0.500
C  0.000  0.500  0.000
C  0.500  0.000  0.000
C  0.500  0.500  0.500

Calculated values
The calculation puts the energy above the lowest structure with this stoichiometry at 875 kJ/mol of formula units. The symmetry is No. 229.

***

Record-wise ΔH_f (0 K) values, in eV per formula unit: 1.531 4.115 3.932 1.149 1.358 1.808 0.634 5.076 0.966 7.858 11.673 5.819 12.745